This record from Alexandria via LeMat-Bulk describes a relaxed structure of ScTiCu. The functional is PBE.

Unit cell a=4.9874 b=4.9092 c=6.6258 alpha=55.69 beta=90.15 gamma=59.67
Fractional positions:
1 Sc 0.8240 0.7517 0.5264
2 Sc 0.3376 0.7246 0.2329
3 Cu 0.2268 0.4485 0.0148
4 Cu 0.7257 0.4478 0.0158
5 Ti 0.6172 0.1652 0.7943
6 Ti 0.1665 0.0682 0.5324

Final energy = -6.114 eV/atom
Relative energy among the computed polymorphs = 77 meV/atom